DFT (PBE) results for a geometry-optimized Y2InOs structure.

Properties
- DFT total energy (eV per cell) = -27.78

a = 4.9890 Å, b = 4.9890 Å, c = 3.6624 Å
α = 90.00°, β = 90.00°, γ = 90.00°
Closest atoms and distances in Å follow each position.
Space group P4/mmm (No. 123)
Asymmetric unit:
Y 0.0000 0.5000 0.0000  4 In 3.09, 4 Os 3.09
In 0.0000 0.0000 0.5000  8 Y 3.09
Os 0.5000 0.5000 0.5000  8 Y 3.09

***

DFT (PBE) results for a geometry-optimized Y3InOs structure.

Properties
- DFT total energy (eV per cell) = -280.50

a = 6.5777 Å, b = 9.6412 Å, c = 16.3182 Å
α = 90.00°, β = 90.00°, γ = 90.00°
Closest atoms and distances in Å follow each position.
Space group Fmmm (No. 69)
Asymmetric unit:
Y 0.0000 0.0000 0.2007  4 Os 3.03, 2 Y 3.32
Y 0.0000 0.1907 0.3887  2 Os 2.86
In 0.2093 0.0000 0.0000  1 In 2.75
Os 0.2500 0.2500 0.2500  8 Y 2.86-3.03

***

DFT (PBE) results for a geometry-optimized Y2InOs structure.

Properties
- DFT total energy (eV per cell) = -26.92

a = 3.4149 Å, b = 3.4149 Å, c = 8.4026 Å
α = 90.00°, β = 90.00°, γ = 90.00°
Closest atoms and distances in Å follow each position.
Space group P4mm (No. 99)
Asymmetric unit:
Y 0.0000 0.0000 0.0000  4 Os 2.93, 1 In 3.17
Y 0.5000 0.5000 0.3644  4 In 3.25, 4 Y 3.41
In 0.0000 0.0000 0.6229  4 Os 2.85, 1 Y 3.17
Os 0.5000 0.5000 0.8029  4 In 2.85, 4 Y 2.93

***

no.,DOS(E_F) (states/eV per atom)
1,0.608
2,0.645
3,1.363